Entry 1:
Computed, not measured: a relaxed MoPbSe2 crystal at the GGA-PBE level of DFT.

Summary:
E_tot: -5.5622 eV per atom
Magnetization: 0.0 Bohr magnetons per cell
V: 90.1 Å³ per cell

The structure in POSCAR format:
```
MoPbSe2
1.0
3.1678 0.0000 0.0000
0.0000 3.1456 0.0000
-0.1994 0.0000 9.0411
Mo Pb Se
1 1 2
Cartesian
0.0000 0.0000 0.0000
1.4842 0.0000 4.5205
1.3848 1.5728 7.5201
1.5835 1.5728 1.5210
```

=====

Entry 2:
Computed, not measured: a relaxed PRhPb2 crystal at the GGA-PBE level of DFT.

Summary:
E_tot: -4.7222 eV per atom
Magnetization: 0.0 Bohr magnetons per cell
V: 85.9 Å³ per cell
ΔE_f: 0.3223 eV per atom

The structure in POSCAR format:
```
PRhPb2
1.0
4.8130 0.0000 0.0000
0.0000 4.8130 0.0000
0.0000 0.0000 3.7087
P Rh Pb
1 1 2
Cartesian
0.0000 0.0000 0.0000
2.4065 2.4065 0.0000
0.0000 2.4065 1.8543
2.4065 0.0000 1.8543
```

=====

Entry 3:
Computed, not measured: a relaxed CsGeSb4 crystal at the GGA-PBE level of DFT.

Summary:
E_tot: -3.6417 eV per atom
Magnetization: 0.0 Bohr magnetons per cell
V: 478.8 Å³ per cell

The structure in POSCAR format:
```
CsGeSb4
1.0
7.2255 -4.1098 0.0000
7.2255 4.1098 0.0000
-1.6530 0.0000 8.0613
Cs Ge Sb
2 2 8
Cartesian
2.1806 0.0000 2.3301
10.6175 0.0000 5.7313
5.2071 0.0000 5.3111
7.5910 0.0000 2.7503
5.6881 1.4087 0.7820
6.3991 2.0425 4.0307
2.8054 0.0000 6.4681
7.1100 1.4087 7.2793
5.6881 -1.4087 0.7820
9.9927 0.0000 1.5932
6.3991 -2.0425 4.0307
7.1100 -1.4087 7.2793
```

=====

Entry 4:
Computed, not measured: a relaxed Ac3Mg7Zn4 crystal at the GGA-PBE level of DFT.

Summary:
E_tot: -2.2116 eV per atom
Magnetization: 0.0 Bohr magnetons per cell
V: 355.2 Å³ per cell
ΔE_f: -0.1699 eV per atom

The structure in POSCAR format:
```
Ac3Mg7Zn4
1.0
8.7380 -2.4429 0.0000
8.7380 2.4429 0.0000
-5.4528 0.0000 8.3202
Ac Mg Zn
3 7 4
Cartesian
0.0000 0.0000 0.0000
3.6534 0.0000 2.4066
8.3698 0.0000 5.9135
-2.7264 0.0000 4.1601
0.3819 0.0000 3.5637
0.4667 0.0000 8.1453
4.8605 0.0000 5.7541
7.1627 0.0000 2.5661
11.5565 0.0000 0.1749
11.6413 0.0000 4.7565
-2.3353 0.0000 7.0593
2.0817 0.0000 5.9198
9.9415 0.0000 2.4004
14.3585 0.0000 1.2608
```

=====

Entry 5:
Computed, not measured: a relaxed K2Rb2Mo crystal at the GGA-PBE level of DFT.

Summary:
ΔE to the lowest computed polymorph: 56.8 meV per atom
E_tot: -1.9025 eV per atom
Magnetization: 5.2 Bohr magnetons per cell
V: 347.8 Å³ per cell
ΔE_f: 1.0897 eV per atom

The structure in POSCAR format:
```
K2Rb2Mo
1.0
-2.6917 2.6917 11.9992
2.6917 -2.6917 11.9992
2.6917 2.6917 -11.9992
K Rb Mo
2 2 1
Cartesian
2.6917 0.0000 5.9996
0.0000 2.6917 5.9996
0.0000 0.0000 2.0016
0.0000 0.0000 21.9968
0.0000 0.0000 11.9992
```

=====

Entry 6:
Computed, not measured: a relaxed SrCr2Pt crystal at the GGA-PBE level of DFT.

Summary:
E_tot: -6.1745 eV per atom
Magnetization: 8.7 Bohr magnetons per cell
V: 187.1 Å³ per cell
ΔE_f: 0.5679 eV per atom

The structure in POSCAR format:
```
SrCr2Pt
1.0
-2.2480 2.2480 9.2546
2.2480 -2.2480 9.2546
2.2480 2.2480 -9.2546
Sr Cr Pt
2 4 2
Cartesian
2.2480 1.1240 2.3137
0.0000 1.1240 6.9410
0.0000 0.0000 0.0000
1.1240 1.1240 -4.6273
1.1240 -1.1240 4.6273
0.0000 2.2480 0.0000
2.2480 -1.1240 6.9410
0.0000 3.3721 2.3137
```

=====

Entry 7:
Computed, not measured: a relaxed KMn2Re crystal at the GGA-PBE level of DFT.

Summary:
ΔE to the lowest computed polymorph: 129.9 meV per atom
E_tot: -7.1714 eV per atom
Magnetization: 2.5 Bohr magnetons per cell
V: 80.3 Å³ per cell
ΔE_f: 0.7997 eV per atom

The structure in POSCAR format:
```
KMn2Re
1.0
2.7288 0.0000 0.0000
0.0000 3.6527 0.0000
-0.7328 0.0000 8.0587
K Mn Re
1 2 1
Cartesian
0.0000 0.0000 0.0000
0.7129 1.8263 5.2064
2.1431 0.0000 3.9306
1.1366 1.8263 2.7800
```

=====

Entry 8:
Computed, not measured: a relaxed AsPtSe2 crystal at the GGA-PBE level of DFT.

Summary:
E_tot: -4.4858 eV per atom
Magnetization: 0.0 Bohr magnetons per cell
V: 80.4 Å³ per cell

The structure in POSCAR format:
```
AsPtSe2
1.0
1.9057 1.1003 6.3888
-1.9057 1.1003 6.3888
0.0000 -2.2005 6.3888
As Pt Se
1 1 2
Cartesian
0.0000 0.0000 0.0000
0.0000 0.0000 14.1118
0.0000 0.0000 4.6570
0.0000 0.0000 9.0912
```

=====

Entry 9:
Computed, not measured: a relaxed Tm2ZrGa crystal at the GGA-PBE level of DFT.

Summary:
ΔE to the lowest computed polymorph: 102.1 meV per atom
E_tot: -5.2958 eV per atom
Magnetization: 0.0 Bohr magnetons per cell
V: 100.5 Å³ per cell
ΔE_f: -0.1663 eV per atom

The structure in POSCAR format:
```
Tm2ZrGa
1.0
1.7207 0.9934 9.8031
-1.7207 0.9934 9.8031
0.0000 -1.9869 9.8031
Tm Zr Ga
2 1 1
Cartesian
0.0000 0.0000 0.0000
0.0000 0.0000 5.2858
0.0000 0.0000 22.2512
0.0000 0.0000 17.3535
```

=====

Entry 10:
Computed, not measured: a relaxed Sr4Zn2Pt crystal at the GGA-PBE level of DFT.

Summary:
E_tot: -2.4504 eV per atom
Magnetization: 0.0 Bohr magnetons per cell
V: 270.9 Å³ per cell
ΔE_f: -0.2624 eV per atom

The structure in POSCAR format:
```
Sr4Zn2Pt
1.0
-2.9913 2.9913 7.5699
2.9913 -2.9913 7.5699
2.9913 2.9913 -7.5699
Sr Zn Pt
4 2 1
Cartesian
2.9913 0.0000 0.0000
0.0000 0.0000 2.9794
0.0000 2.9913 0.0000
0.0000 0.0000 12.1605
0.0000 0.0000 6.2187
0.0000 0.0000 8.9212
0.0000 0.0000 0.0000
```

=====

Entry 11:
Computed, not measured: a relaxed GaCuAu5 crystal at the GGA-PBE level of DFT.

Summary:
ΔE to the lowest computed polymorph: 358.3 meV per atom
E_tot: -3.0537 eV per atom
Magnetization: 0.0 Bohr magnetons per cell
V: 169.3 Å³ per cell
ΔE_f: 0.3049 eV per atom

The structure in POSCAR format:
```
GaCuAu5
1.0
-3.7738 4.5492 2.4654
3.7738 -4.5492 2.4654
3.7738 4.5492 -2.4654
Ga Cu Au
1 1 5
Cartesian
0.0000 0.0000 0.0000
3.7738 0.0000 1.6507
0.0000 2.3592 0.7583
0.0000 0.0000 2.4693
-1.3865 4.5492 1.7195
1.3865 4.5492 1.7195
0.0000 6.7391 0.7583
```

=====

Entry 12:
Computed, not measured: a relaxed ZrTiCdAg crystal at the GGA-PBE level of DFT.

Summary:
ΔE to the lowest computed polymorph: 168.8 meV per atom
E_tot: -4.9676 eV per atom
Magnetization: 1.3 Bohr magnetons per cell
V: 79.6 Å³ per cell
ΔE_f: 0.0848 eV per atom

The structure in POSCAR format:
```
ZrTiCdAg
1.0
0.0000 3.4140 3.4140
3.4140 0.0000 3.4140
3.4140 3.4140 0.0000
Zr Ti Cd Ag
1 1 1 1
Cartesian
0.0000 0.0000 0.0000
3.4140 3.4140 3.4140
1.7070 1.7070 1.7070
5.1210 5.1210 5.1210
```

=====

Entry 13:
Computed, not measured: a relaxed Ac2PuSn4Pt3 crystal at the GGA-PBE level of DFT.

Summary:
E_tot: -6.3901 eV per atom
Magnetization: 5.4 Bohr magnetons per cell
V: 259.1 Å³ per cell
ΔE_f: -0.7219 eV per atom

The structure in POSCAR format:
```
Ac2PuSn4Pt3
1.0
4.5783 0.0000 0.0000
0.0000 4.5783 0.0000
0.0000 0.0000 12.3617
Ac Pu Sn Pt
2 1 4 3
Cartesian
0.0000 2.2892 2.8696
2.2892 0.0000 9.4922
0.0000 0.0000 6.1809
0.0000 0.0000 0.0000
0.0000 2.2892 8.1757
2.2892 0.0000 4.1861
2.2892 2.2892 0.0000
0.0000 2.2892 10.8537
2.2892 0.0000 1.5080
2.2892 2.2892 6.1809
```

=====

Entry 14:
Computed, not measured: a relaxed Tl4CdPt crystal at the GGA-PBE level of DFT.

Summary:
E_tot: -2.2839 eV per atom
Magnetization: 0.0 Bohr magnetons per cell
V: 170.6 Å³ per cell
ΔE_f: 0.4529 eV per atom

The structure in POSCAR format:
```
Tl4CdPt
1.0
0.0000 4.4018 4.4018
4.4018 0.0000 4.4018
4.4018 4.4018 0.0000
Tl Cd Pt
4 1 1
Cartesian
3.3069 3.3069 3.3069
5.4966 5.4966 3.3069
5.4966 3.3069 5.4966
3.3069 5.4966 5.4966
0.0000 0.0000 0.0000
6.6026 6.6026 6.6026
```

=====

Entry 15:
Computed, not measured: a relaxed Al2CuSi crystal at the GGA-PBE level of DFT.

Summary:
E_tot: -4.1992 eV per atom
Magnetization: 0.0 Bohr magnetons per cell
V: 60.3 Å³ per cell

The structure in POSCAR format:
```
Al2CuSi
1.0
2.8482 0.0000 0.0000
-1.4241 2.4666 0.0000
0.0000 0.0000 8.5772
Al Cu Si
2 1 1
Cartesian
0.0000 0.0000 0.0000
0.0000 1.6444 3.9553
1.4241 0.8222 1.9782
0.0000 1.6444 6.4720
```

=====

Entry 16:
Computed, not measured: a relaxed SiIrRh2 crystal at the GGA-PBE level of DFT.

Summary:
E_tot: -7.4595 eV per atom
Magnetization: 0.0 Bohr magnetons per cell
V: 55.3 Å³ per cell

The structure in POSCAR format:
```
SiIrRh2
1.0
2.7552 0.0000 0.0000
0.0000 3.7273 0.0000
0.0000 0.0000 5.3834
Si Ir Rh
1 1 2
Cartesian
0.0000 0.0000 0.0000
0.0000 0.0000 2.6917
1.3776 1.8636 1.3069
1.3776 1.8636 4.0765
```

=====

Entry 17:
Computed, not measured: a relaxed SbTe2PBr crystal at the GGA-PBE level of DFT.

Summary:
ΔE to the lowest computed polymorph: 878.5 meV per atom
E_tot: -2.1498 eV per atom
Magnetization: 0.5 Bohr magnetons per cell
V: 174.4 Å³ per cell

The structure in POSCAR format:
```
SbTe2PBr
1.0
5.5695 0.0000 0.0000
0.0000 5.5695 0.0000
0.0000 0.0000 5.6221
Sb Te P Br
1 2 1 1
Cartesian
0.0000 0.0000 0.0000
0.0000 2.7848 2.8110
2.7848 0.0000 2.8110
2.7848 2.7848 0.0000
0.0000 0.0000 2.8110
```

=====

Entry 18:
Computed, not measured: a relaxed La4TcAg crystal at the GGA-PBE level of DFT.

Summary:
ΔE to the lowest computed polymorph: 86.6 meV per atom
E_tot: -5.5397 eV per atom
Magnetization: 0.0 Bohr magnetons per cell
V: 397.4 Å³ per cell
ΔE_f: -0.0518 eV per atom

The structure in POSCAR format:
```
La4TcAg
1.0
4.7249 -7.4993 0.0000
4.7249 7.4993 0.0000
-4.2512 0.0000 5.6082
La Tc Ag
8 2 2
Cartesian
-0.3726 4.2932 4.6493
-0.8686 0.6276 4.0787
1.2570 -0.6276 1.2746
3.4457 4.2932 3.7630
1.7530 -4.2932 1.8452
3.9417 0.6276 4.3336
6.0673 -0.6276 1.5295
5.5713 -4.2932 0.9589
1.5366 5.9752 4.2062
3.6622 -5.9752 1.4021
3.6622 1.7761 1.4021
1.5366 -1.7761 4.2062
```